Material: CrCoNO2
Method: DFT, PBE+U
State: optimized geometry

## Properties
* total DFT energy (no corrections): -6.076 eV per atom
* crystal system: tetragonal
* V: 51.1 Å³/cell
* space-group type: No. 123

a = 3.715 Å, b = 3.715 Å, c = 3.703 Å
α = 90.00°, β = 90.00°, γ = 90.00°
Sites, in units of the cell vectors:
Cr1 0.000 0.000 0.000
N1 0.000 0.000 0.500
O1 0.000 0.500 0.000
O2 0.500 0.000 0.000
Co1 0.500 0.500 0.500